VASP calculation (GGA-PBEsol) on a relaxed LiNi2Sb crystal.

CIF file:
```
data_LiNi2Sb
_chemical_formula_sum 'Li2 Ni4 Sb2'
_symmetry_space_group_name_H-M 'P 1'
_symmetry_Int_Tables_number 1
_cell_length_a 3.696
_cell_length_b 3.696
_cell_length_c 7.486
_cell_angle_alpha 90.00
_cell_angle_beta 90.00
_cell_angle_gamma 90.00
loop_
_symmetry_equiv_pos_as_xyz
'x,y,z'
loop_
_atom_site_label
_atom_site_fract_x
_atom_site_fract_y
_atom_site_fract_z
_atom_site_occupancy
Li1 0.000 0.000 0.000 1
Li2 0.500 0.500 0.500 1
Ni1 0.000 0.000 0.500 1
Ni2 0.000 0.500 0.750 1
Ni3 0.500 0.000 0.250 1
Ni4 0.500 0.500 0.000 1
Sb1 0.000 0.500 0.250 1
Sb2 0.500 0.000 0.750 1
```

## Properties
The total moment comes out at 0.0 μB per cell. The calculation puts the uncorrected formation energy at -25.4 kJ per mole of atoms. The value obtained for the raw total energy is -4.973 eV per atom. Its density of states at the Fermi level is 0.480 states/eV per atom.